w) Below is a geometry-optimized Zn2SnAu8 structure, with properties calculated at the PBE-GGA level.

Cell: 4.660 8.232 8.232 Å, 40.76 92.50 92.50°
Fractional coordinates of all 11 atoms:
1 Au 0.266 0.124 0.608
2 Zn 0.234 0.717 0.717
3 Au 0.746 0.450 0.450
4 Zn 0.766 0.283 0.283
5 Au 0.254 0.550 0.550
6 Au 0.249 0.189 0.189
7 Au 0.734 0.876 0.392
8 Sn 0.000 0.000 0.000
9 Au 0.751 0.811 0.811
10 Au 0.266 0.608 0.124
11 Au 0.734 0.392 0.876

Summary:
- N(E_F) (states/eV/atom) = 0.32

---

x) Below is a geometry-optimized Zn2SnAu8 structure, with properties calculated at the PBE-GGA level.

Cell: 4.081 6.759 7.771 Å, 105.22 105.22 90.00°
Fractional coordinates of all 11 atoms:
1 Au 0.960 0.278 0.920
2 Au 0.841 0.767 0.682
3 Au 0.605 0.472 0.210
4 Au 0.322 0.073 0.644
5 Zn 0.783 0.339 0.566
6 Zn 0.217 0.661 0.434
7 Au 0.678 0.927 0.356
8 Au 0.395 0.528 0.790
9 Au 0.040 0.722 0.080
10 Sn 0.500 0.000 0.000
11 Au 0.159 0.233 0.318

Summary:
- N(E_F) (states/eV/atom) = 0.28

---

Energies in kJ/mol of atoms, measured from the most stable structure: w) 1.7; x) 0.0.

---

w) Below is a geometry-optimized Zr2Sn2Au structure, with properties calculated at the PBE-GGA level.

Cell: 7.405 7.405 4.296 Å, 90.00 90.00 90.00°
Fractional coordinates of all 10 atoms:
1 Sn 0.659 0.841 0.500
2 Sn 0.341 0.159 0.500
3 Au 0.500 0.500 0.000
4 Sn 0.841 0.341 0.500
5 Zr 0.853 0.647 0.000
6 Sn 0.159 0.659 0.500
7 Zr 0.647 0.147 0.000
8 Au 0.000 0.000 0.000
9 Zr 0.147 0.353 0.000
10 Zr 0.353 0.853 0.000

Summary:
- N(E_F) (states/eV/atom) = 0.76

---

x) Below is a geometry-optimized Zr2Sn2Au structure, with properties calculated at the PBE-GGA level.

Cell: 7.270 7.270 4.197 Å, 90.00 90.00 90.00°
Fractional coordinates of all 10 atoms:
1 Zr 0.828 0.328 0.500
2 Sn 0.364 0.864 0.000
3 Sn 0.864 0.636 0.000
4 Zr 0.328 0.172 0.500
5 Zr 0.672 0.828 0.500
6 Au 0.000 0.000 0.000
7 Sn 0.636 0.136 0.000
8 Zr 0.172 0.672 0.500
9 Au 0.500 0.500 0.000
10 Sn 0.136 0.364 0.000

Summary:
- N(E_F) (states/eV/atom) = 0.33

---

Energies in kJ/mol of atoms, measured from the most stable structure: w) 5.6; x) 0.0.

---

w) Below is a geometry-optimized ZrSn3Au structure, with properties calculated at the PBE-GGA level.

Cell: 5.294 5.294 5.294 Å, 90.00 90.00 90.00°
Fractional coordinates of all 5 atoms:
1 Sn 0.500 0.000 0.000
2 Au 0.000 0.000 0.000
3 Sn 0.000 0.000 0.500
4 Zr 0.500 0.500 0.500
5 Sn 0.000 0.500 0.000

Summary:
- N(E_F) (states/eV/atom) = 0.93

---

x) Below is a geometry-optimized ZrSn3Au structure, with properties calculated at the PBE-GGA level.

Cell: 5.550 5.550 5.550 Å, 90.00 90.00 90.00°
Fractional coordinates of all 5 atoms:
1 Sn 0.000 0.000 0.500
2 Sn 0.000 0.500 0.000
3 Zr 0.000 0.000 0.000
4 Sn 0.500 0.000 0.000
5 Au 0.500 0.500 0.500

Summary:
- N(E_F) (states/eV/atom) = 1.49

---

Energies in kJ/mol of atoms, measured from the most stable structure: w) 4.3; x) 0.0.